Entry 1:
The following is a PBE calculation of a relaxed Li2MnCl crystal, from the Alexandria database.

Computed properties:
The value obtained for the density of states at the Fermi level is 0.450 states/eV per atom. The energy relative to the elements, uncorrected comes out at -0.13 eV/atom. As for the crystal system: orthorhombic. The value obtained for the total energy is -3.8446 eV per atom.

```
Li2MnCl
1.0
5.9038 0.0000 0.0000
0.0000 7.4496 0.0000
0.0000 0.0000 3.2320
Li Mn Cl
4 2 2
Direct
0.2500 0.2500 0.0000
0.2500 0.7500 0.0000
0.7500 0.2500 0.0000
0.7500 0.7500 0.0000
0.0000 0.0000 0.5000
0.5000 0.5000 0.5000
0.0000 0.5000 0.5000
0.5000 0.0000 0.5000
```

***

Entry 2:
The following is a PBE calculation of a relaxed SrCa3Au crystal, from the Alexandria database.

Computed properties:
The value obtained for the density of states at the Fermi level is 0.763 states/eV per atom. The formation energy comes out at -344 meV/atom. As for the crystal system: monoclinic. The value obtained for the total energy is -2.5366 eV per atom.

```
SrCa3Au
1.0
6.1450 0.0000 0.0000
0.0000 7.9813 0.0000
-1.3772 0.0000 7.8132
Sr Ca Au
2 6 2
Direct
0.0199 0.2500 0.0849
0.9801 0.7500 0.9151
0.0897 0.7500 0.4301
0.4590 0.0156 0.7530
0.4590 0.4844 0.7530
0.5410 0.5156 0.2470
0.5410 0.9844 0.2470
0.9103 0.2500 0.5699
0.3643 0.2500 0.4535
0.6357 0.7500 0.5465
```

***

Entry 3:
The following is a PBE calculation of a relaxed K2MgSc crystal, from the Alexandria database.

Computed properties:
The value obtained for the density of states at the Fermi level is 1.145 states/eV per atom. The formation energy comes out at 712 meV/atom. As for the crystal system: tetragonal. The value obtained for the total energy is -1.8186 eV per atom.

```
K2MgSc
1.0
10.0903 0.0000 0.0000
0.0000 10.0903 0.0000
0.0000 0.0000 6.6667
K Mg Sc
8 4 4
Direct
0.2243 0.2500 0.1250
0.2500 0.7243 0.3750
0.2500 0.7757 0.8750
0.2757 0.2500 0.6250
0.7243 0.7500 0.6250
0.7500 0.2243 0.8750
0.7500 0.2757 0.3750
0.7757 0.7500 0.1250
0.0000 0.0000 0.0000
0.0000 0.5000 0.2500
0.5000 0.0000 0.7500
0.5000 0.5000 0.5000
0.0000 0.0000 0.5000
0.0000 0.5000 0.7500
0.5000 0.0000 0.2500
0.5000 0.5000 0.0000
```

***

Entry 4:
The following is a PBE calculation of a relaxed TmHfRuAu crystal, from the Alexandria database.

Computed properties:
The value obtained for the density of states at the Fermi level is 0.973 states/eV per atom. The formation energy comes out at -538 meV/atom. As for the crystal system: cubic. The value obtained for the total energy is -7.2825 eV per atom.

```
TmHfRuAu
1.0
6.7788 0.0000 0.0000
0.0000 6.7788 0.0000
0.0000 0.0000 6.7788
Tm Hf Ru Au
4 4 4 4
Direct
0.0000 0.0000 0.0000
0.0000 0.5000 0.5000
0.5000 0.0000 0.5000
0.5000 0.5000 0.0000
0.0000 0.0000 0.5000
0.0000 0.5000 0.0000
0.5000 0.0000 0.0000
0.5000 0.5000 0.5000
0.2500 0.2500 0.2500
0.2500 0.7500 0.7500
0.7500 0.2500 0.7500
0.7500 0.7500 0.2500
0.2500 0.2500 0.7500
0.2500 0.7500 0.2500
0.7500 0.2500 0.2500
0.7500 0.7500 0.7500
```

***

Entry 5:
The following is a PBE calculation of a relaxed GdHoTlCu crystal, from the Alexandria database.

Computed properties:
The value obtained for the density of states at the Fermi level is 0.854 states/eV per atom. The formation energy comes out at -251 meV/atom. As for the crystal system: cubic. The value obtained for the total energy is -6.5316 eV per atom.

```
GdHoTlCu
1.0
7.3350 0.0000 0.0000
0.0000 7.3350 0.0000
0.0000 0.0000 7.3350
Gd Ho Tl Cu
4 4 4 4
Direct
0.0000 0.0000 0.0000
0.0000 0.5000 0.5000
0.5000 0.0000 0.5000
0.5000 0.5000 0.0000
0.0000 0.0000 0.5000
0.0000 0.5000 0.0000
0.5000 0.0000 0.0000
0.5000 0.5000 0.5000
0.2500 0.2500 0.7500
0.2500 0.7500 0.2500
0.7500 0.2500 0.2500
0.7500 0.7500 0.7500
0.2500 0.2500 0.2500
0.2500 0.7500 0.7500
0.7500 0.2500 0.7500
0.7500 0.7500 0.2500
```

***

Entry 6:
The following is a PBE calculation of a relaxed BeIO4 crystal, from the Alexandria database.

Computed properties:
The value obtained for the density of states at the Fermi level is 0.323 states/eV per atom. The energy relative to the elements, uncorrected comes out at -0.56 eV/atom. As for the crystal system: monoclinic. The value obtained for the total energy is -4.7442 eV per atom.

```
BeIO4
1.0
11.2279 0.0000 0.0000
0.0000 3.1648 0.0000
-2.1216 0.0000 4.4026
Be I O
2 2 8
Direct
0.0000 0.0000 0.0000
0.5000 0.5000 0.0000
0.0000 0.5000 0.5000
0.5000 0.0000 0.5000
0.0962 0.5000 0.2545
0.0976 0.0000 0.7937
0.4024 0.5000 0.2063
0.4038 0.0000 0.7455
0.5962 0.0000 0.2545
0.5976 0.5000 0.7937
0.9024 0.0000 0.2063
0.9038 0.5000 0.7455
```

***

Entry 7:
The following is a PBE calculation of a relaxed Y2MgNi2 crystal, from the Alexandria database.

Computed properties:
The value obtained for the density of states at the Fermi level is 0.723 states/eV per atom. The formation energy comes out at -372 meV/atom. As for the crystal system: tetragonal. The value obtained for the total energy is -5.5894 eV per atom.

```
Y2MgNi2
1.0
7.3445 0.0000 0.0000
0.0000 7.3445 0.0000
0.0000 0.0000 3.7865
Y Mg Ni
4 2 4
Direct
0.1742 0.3258 0.0000
0.3258 0.8258 0.0000
0.6742 0.1742 0.0000
0.8258 0.6742 0.0000
0.0000 0.0000 0.5000
0.5000 0.5000 0.5000
0.1193 0.6193 0.5000
0.3807 0.1193 0.5000
0.6193 0.8807 0.5000
0.8807 0.3807 0.5000
```

***

Entry 8:
The following is a PBE calculation of a relaxed LaPm10Er4 crystal, from the Alexandria database.

Computed properties:
The value obtained for the density of states at the Fermi level is 1.842 states/eV per atom. The formation energy comes out at 511 meV/atom. As for the crystal system: tetragonal. The value obtained for the total energy is -4.2010 eV per atom.

```
LaPm10Er4
1.0
-6.3674 6.3674 3.4204
6.3674 -6.3674 3.4204
6.3674 6.3674 -3.4204
La Pm Er
1 10 4
Direct
0.0000 0.0000 0.0000
0.0430 0.6252 0.1614
0.1184 0.9570 0.5823
0.2500 0.7500 0.5000
0.3748 0.5362 0.4177
0.4638 0.8816 0.8386
0.5362 0.1184 0.1614
0.6252 0.4638 0.5823
0.7500 0.2500 0.5000
0.8816 0.0430 0.4177
0.9570 0.3748 0.8386
0.3230 0.4326 0.7556
0.4326 0.6770 0.1096
0.5674 0.3230 0.8904
0.6770 0.5674 0.2444
```

***

Entry 9:
The following is a PBE calculation of a relaxed Na2BPdO crystal, from the Alexandria database.

Computed properties:
The value obtained for the density of states at the Fermi level is 0.508 states/eV per atom. The energy relative to the elements, uncorrected comes out at 0.25 eV/atom. As for the crystal system: tetragonal. The value obtained for the total energy is -3.6435 eV per atom.

```
Na2BPdO
1.0
4.3703 0.0000 0.0000
0.0000 4.3703 0.0000
0.0000 0.0000 4.1341
Na B Pd O
2 1 1 1
Direct
0.0000 0.5000 0.0000
0.5000 0.0000 0.0000
0.0000 0.0000 0.5000
0.5000 0.5000 0.5000
0.5000 0.5000 0.0000
```

***

Entry 10:
The following is a PBE calculation of a relaxed SrGePd4 crystal, from the Alexandria database.

Computed properties:
The value obtained for the density of states at the Fermi level is 0.326 states/eV per atom. The formation energy comes out at -525 meV/atom. As for the crystal system: orthorhombic. The value obtained for the total energy is -5.0364 eV per atom.

```
SrGePd4
1.0
7.8760 0.0000 0.0000
0.0000 4.0087 0.0000
0.0000 0.0000 7.1928
Sr Ge Pd
2 2 8
Direct
0.2500 0.0000 0.1327
0.7500 0.0000 0.8673
0.2500 0.0000 0.7023
0.7500 0.0000 0.2977
0.0000 0.0000 0.5000
0.0611 0.5000 0.7940
0.2500 0.5000 0.4545
0.4389 0.5000 0.7940
0.5000 0.0000 0.5000
0.5611 0.5000 0.2060
0.7500 0.5000 0.5455
0.9389 0.5000 0.2060
```

***

Entry 11:
The following is a PBE calculation of a relaxed CaTl2Zn crystal, from the Alexandria database.

Computed properties:
The value obtained for the density of states at the Fermi level is 0.504 states/eV per atom. The formation energy comes out at -22 meV/atom. As for the crystal system: tetragonal. The value obtained for the total energy is -2.0243 eV per atom.

```
CaTl2Zn
1.0
4.6079 0.0000 0.0000
0.0000 4.6079 0.0000
0.0000 0.0000 21.8287
Ca Tl Zn
4 8 4
Direct
0.0000 0.0000 0.0000
0.0000 0.5000 0.2500
0.5000 0.0000 0.7500
0.5000 0.5000 0.5000
0.2319 0.2500 0.6250
0.2500 0.7319 0.8750
0.2500 0.7681 0.3750
0.2681 0.2500 0.1250
0.7319 0.7500 0.1250
0.7500 0.2319 0.3750
0.7500 0.2681 0.8750
0.7681 0.7500 0.6250
0.0000 0.0000 0.5000
0.0000 0.5000 0.7500
0.5000 0.0000 0.2500
0.5000 0.5000 0.0000
```

***

Entry 12:
The following is a PBE calculation of a relaxed NaSrLi2Au crystal, from the Alexandria database.

Computed properties:
The value obtained for the density of states at the Fermi level is 0.573 states/eV per atom. The formation energy comes out at -135 meV/atom. As for the crystal system: tetragonal. The value obtained for the total energy is -2.1557 eV per atom.

```
NaSrLi2Au
1.0
5.1314 0.0000 0.0000
0.0000 5.1314 0.0000
0.0000 0.0000 5.5412
Na Sr Li Au
1 1 2 1
Direct
0.0000 0.0000 0.0000
0.5000 0.5000 0.0000
0.0000 0.5000 0.5000
0.5000 0.0000 0.5000
0.0000 0.0000 0.5000
```